No. 1
The following is a DFT calculation (GGA-PBE) of EuPuTeI after structural relaxation.

Geometry as POSCAR:
```
EuPuTeI
1.0
-3.003 -4.674 -0.035
1.213 -4.108 3.538
-3.428 -1.131 4.223
I Eu Te Pu
1 1 1 1
Cartesian
-3.913 -7.434 5.795
0.000 0.000 0.000
-1.304 -2.478 1.932
-2.609 -4.956 3.863
```

E_form (uncorrected) ... -921 meV per atom
Theoretical density ... 8.910 g/cm3
Space-group type ... No. 216

No. 2
The following is a DFT calculation (GGA-PBE) of La4CoW after structural relaxation.

Geometry as POSCAR:
```
La4CoW
1.0
-3.985 -0.197 4.716
-1.304 5.145 3.159
-5.561 2.632 -0.544
W Co La
1 1 4
Cartesian
-8.138 5.686 5.498
0.000 0.000 0.000
-4.069 2.843 2.749
-6.061 2.745 5.106
-6.849 4.159 2.477
-4.721 5.415 4.328
```

Theoretical density ... 7.955 g/cm3
Energy of formation ... 1268 meV per atom
Space-group type ... No. 216

No. 3
The following is a DFT calculation (GGA-PBE) of Pa2NiOsN5 after structural relaxation.

Geometry as POSCAR:
```
Pa2NiOsN5
1.0
-0.980 -2.895 -1.357
0.946 -1.490 6.613
-9.027 2.217 1.791
N Ni Os Pa
10 2 2 4
Cartesian
-6.529 -1.187 7.247
-3.036 -1.000 4.326
-5.110 -2.902 5.759
-1.709 -2.331 2.085
-2.951 -0.878 -0.117
-4.902 -1.199 1.978
-0.486 -0.117 0.600
-5.658 -0.253 4.625
-8.148 -0.646 3.142
0.289 -2.061 4.186
-9.034 0.316 1.731
-3.682 -1.585 6.041
-4.876 -2.082 3.841
0.032 -1.121 2.369
-6.085 0.876 2.528
-7.482 -1.793 5.108
-2.689 -0.102 2.159
-1.806 -3.330 4.287
```

E_form (uncorrected) ... -682 meV per atom
Theoretical density ... 12.343 g/cm3
Space-group type ... No. 36

No. 4
The following is a DFT calculation (GGA-PBE) of PbAuBr2 after structural relaxation.

Geometry as POSCAR:
```
PbAuBr2
1.0
7.794 0.063 -0.022
6.761 3.878 -0.022
1.235 0.335 4.185
Br Pb Au
2 1 1
Cartesian
14.235 3.855 0.056
11.650 3.155 3.168
8.812 2.386 1.782
3.542 0.959 1.162
```

E_form (uncorrected) ... -281 meV per atom
Energy above the most stable polymorph in this dataset ... 69.4 meV/atom
Theoretical density ... 7.503 g/cm3
Space-group type ... No. 8

No. 5
The following is a DFT calculation (GGA-PBE) of CsBeS2O8 after structural relaxation.

Geometry as POSCAR:
```
CsBeS2O8
1.0
-4.747 -0.604 0.882
2.270 -2.894 -3.185
1.918 -5.622 6.475
O S Be Cs
8 2 1 1
Cartesian
1.513 -4.556 3.029
-2.110 -2.240 0.532
2.077 -6.265 1.378
1.551 -6.879 3.640
-2.072 -4.563 1.143
-0.211 -6.083 2.213
-0.348 -3.036 1.958
-2.636 -2.854 2.794
1.228 -5.932 2.549
-1.787 -3.188 1.623
0.959 -2.811 3.238
0.000 0.000 0.000
```

E_form (uncorrected) ... -1523 meV per atom
Theoretical density ... 3.079 g/cm3
Space-group type ... No. 147

No. 6
The following is a DFT calculation (GGA-PBE) of Sb5Rh after structural relaxation.

Geometry as POSCAR:
```
Sb5Rh
1.0
-1.295 0.126 2.946
1.780 -2.532 0.891
10.570 8.933 4.265
Sb Rh
5 1
Cartesian
1.221 1.032 0.493
5.285 4.467 2.133
7.468 4.903 4.834
9.349 7.901 3.772
3.587 1.624 3.268
0.243 -1.203 1.918
```

E_form (uncorrected) ... 33 meV per atom
Energy above the most stable polymorph in this dataset ... 90.0 meV/atom
Theoretical density ... 7.869 g/cm3
Space-group type ... No. 123